Record 1
## KPaCoSe3 (PBE)

Data for KPaCoSe3 after structural relaxation.

Output
formation energy (no corrections): -6.50 eV/f.u.

a = 9.278 Å, b = 3.976 Å, c = 9.593 Å
α = 90.00°, β = 111.98°, γ = 90.00°
Space group P2_1/m (No. 11)
Inequivalent atoms, fractional coordinates:
K: 0.211 0.250 0.242 [2 per cell]
Pa: 0.307 0.750 0.826 [2 per cell]
Co: 0.086 0.250 0.595 [2 per cell]
Se: 0.104 0.250 0.855 [2 per cell]
Se: 0.199 0.750 0.518 [2 per cell]
Se: 0.458 0.750 0.154 [2 per cell]

Record 2
## Sm3HgH (PBE)

Data for Sm3HgH after structural relaxation.

Output
excess energy over the best structure of this formula in the dataset: 35 meV per atom

a = 6.976 Å, b = 3.691 Å, c = 9.899 Å
α = 90.00°, β = 100.28°, γ = 90.00°
Space group P2_1/m (No. 11)
Inequivalent atoms, fractional coordinates:
Sm: 0.088 0.250 0.373 [2 per cell]
Sm: 0.224 0.250 0.912 [2 per cell]
Sm: 0.399 0.750 0.638 [2 per cell]
Hg: 0.290 0.750 0.176 [2 per cell]
H: 0.164 0.250 0.648 [2 per cell]

Record 3
## BaHf2Rh2 (PBE)

Data for BaHf2Rh2 after structural relaxation.

Output
ΔE_f: -336 meV/atom
excess energy over the best structure of this formula in the dataset: 196 meV per atom

a = 8.288 Å, b = 8.288 Å, c = 3.085 Å
α = 90.00°, β = 90.00°, γ = 90.00°
Space group P4/mbm (No. 127)
Inequivalent atoms, fractional coordinates:
Ba: 0.000 0.000 0.000 [2 per cell]
Hf: 0.137 0.363 0.000 [4 per cell]
Rh: 0.143 0.643 0.500 [4 per cell]

Record 4
## KAsPt2 (PBE)

Data for KAsPt2 after structural relaxation.

Output
ΔE_f: -33 meV/atom

a = 7.785 Å, b = 7.785 Å, c = 7.207 Å
α = 90.00°, β = 90.00°, γ = 90.00°
Space group I-42d (No. 122)
Inequivalent atoms, fractional coordinates:
K: 0.000 0.000 0.000 [4 per cell]
As: 0.000 0.000 0.500 [4 per cell]
Pt: 0.126 0.250 0.625 [8 per cell]

| no. | mass density (Mg/m³) | total magnetic moment (μB/cell) |
| --- | --- | --- |
| 1 | 5.7 | 1.956 |
| 2 | 8.6 | 0.000 |
| 3 | 11.0 | 0.000 |
| 4 | 7.7 | 0.000 |